1.
Ti2TcHRh: optimized geometry, PBE-GGA.

Cell: 4.2861 4.2861 3.4341 Å, 90.00 90.00 90.00°
Element x y z (fractional)
1 Ti 0.0000 0.5000 0.0000
2 Ti 0.5000 0.0000 0.0000
3 Tc 0.0000 0.0000 0.5000
4 H 0.0000 0.0000 0.0000
5 Rh 0.5000 0.5000 0.5000

SG: P4/mmm
Distance to the lowest polymorph of the same formula, eV per atom: 0.019

2.
CaCe2PaP4: optimized geometry, PBE-GGA.

Cell: 7.0282 4.0743 7.0503 Å, 90.00 109.47 90.00°
Element x y z (fractional)
1 Ca 0.0000 0.0000 0.0000
2 Ce 0.0000 0.5000 0.5000
3 Ce 0.5000 0.0000 0.5000
4 Pa 0.5000 0.5000 0.0000
5 P 0.2605 0.0000 0.7581
6 P 0.2618 0.5000 0.2487
7 P 0.7382 0.5000 0.7513
8 P 0.7395 0.0000 0.2419

SG: P2/m
Calculated formation energy, eV/f.u.: -10.886

3.
KBi3Pd: optimized geometry, PBE-GGA.

Cell: 5.8691 5.8691 5.8691 Å, 90.00 90.00 90.00°
Element x y z (fractional)
1 K 0.0000 0.0000 0.0000
2 Bi 0.0000 0.0000 0.5000
3 Bi 0.0000 0.5000 0.0000
4 Bi 0.5000 0.0000 0.0000
5 Pd 0.5000 0.5000 0.5000

SG: Pm-3m
Distance to the lowest polymorph of the same formula, eV per atom: 1.666
Calculated formation energy, eV/f.u.: 6.986

4.
MgReHCl2: optimized geometry, PBE-GGA.

Cell: 5.4227 5.4227 3.2269 Å, 90.00 90.00 90.00°
Element x y z (fractional)
1 Mg 0.0000 0.0000 0.0000
2 Re 0.5000 0.5000 0.0000
3 H 0.0000 0.0000 0.5000
4 Cl 0.0000 0.5000 0.5000
5 Cl 0.5000 0.0000 0.5000

SG: P4/mmm
Total DFT energy (no corrections), eV for the cell shown: -17.71